[1]
Entry from Alexandria via LeMat-Bulk: a geometry-optimized Ho2Ga8Pt structure (PBE).

Computed properties:
* E_form: -53 kJ/mol of atoms

a = 4.3279 Å, b = 4.3279 Å, c = 11.1172 Å
α = 90.00°, β = 90.00°, γ = 90.00°
Space group P4/mmm (No. 123)
Asymmetric unit:
Ho (0.0000, 0.0000, 0.1901) (multiplicity 2)
Ga (0.0000, 0.5000, 0.0000) (multiplicity 2)
Ga (0.0000, 0.5000, 0.3727) (multiplicity 4)
Ga (0.5000, 0.5000, 0.1930) (multiplicity 2)
Pt (0.0000, 0.0000, 0.5000) (multiplicity 1)



[2]
Entry from Alexandria via LeMat-Bulk: a geometry-optimized HoGaPt structure (PBE).

Computed properties:
* E_form: -108 kJ/mol of atoms

a = 6.8349 Å, b = 4.4368 Å, c = 7.7174 Å
α = 90.00°, β = 90.00°, γ = 90.00°
Space group Pnma (No. 62)
Asymmetric unit:
Ho (0.0150, 0.2500, 0.1989) (multiplicity 4)
Ga (0.1725, 0.2500, 0.5743) (multiplicity 4)
Pt (0.2276, 0.7500, 0.4011) (multiplicity 4)



[3]
Entry from Alexandria via LeMat-Bulk: a geometry-optimized Ho5Ga2Pt structure (PBE).

Computed properties:
* E_form: -63 kJ/mol of atoms

a = 7.3335 Å, b = 7.3335 Å, c = 14.6821 Å
α = 90.00°, β = 90.00°, γ = 90.00°
Space group I4/mcm (No. 140)
Asymmetric unit:
Ho (0.0000, 0.0000, 0.0000) (multiplicity 4)
Ho (0.1724, 0.3276, 0.1498) (multiplicity 16)
Ga (0.1215, 0.3785, 0.5000) (multiplicity 8)
Pt (0.0000, 0.0000, 0.2500) (multiplicity 4)